Entry 1:
Density functional theory data (PBE) for AcCeGa4 after structural relaxation.

Unit cell a=4.383 b=4.383 c=15.139 alpha=90.00 beta=90.00 gamma=90.00
Positions (direct):
Ac  0.000  0.000  0.000
Ac  0.500  0.500  0.500
Ce  0.000  0.500  0.250
Ce  0.500  0.000  0.750
Ga  0.000  0.000  0.414
Ga  0.000  0.000  0.586
Ga  0.000  0.500  0.669
Ga  0.000  0.500  0.831
Ga  0.500  0.000  0.169
Ga  0.500  0.000  0.331
Ga  0.500  0.500  0.086
Ga  0.500  0.500  0.914

- calculated total energy (eV per atom) = -4.28

---

Entry 2:
Density functional theory data (PBE) for Nd6SmHo8 after structural relaxation.

Unit cell a=8.726 b=8.726 c=8.726 alpha=62.94 beta=62.94 gamma=62.94
Positions (direct):
Nd  0.038  0.728  0.604
Nd  0.272  0.396  0.962
Nd  0.396  0.962  0.272
Nd  0.604  0.038  0.728
Nd  0.728  0.604  0.038
Nd  0.962  0.272  0.396
Sm  0.500  0.500  0.500
Ho  0.077  0.077  0.077
Ho  0.217  0.248  0.612
Ho  0.248  0.612  0.217
Ho  0.388  0.783  0.752
Ho  0.612  0.217  0.248
Ho  0.752  0.388  0.783
Ho  0.783  0.752  0.388
Ho  0.923  0.923  0.923

- calculated total energy (eV per atom) = -4.54

---

Entry 3:
Density functional theory data (PBE) for Na3Cd4Sn4 after structural relaxation.

Unit cell a=9.371 b=9.371 c=9.371 alpha=150.22 beta=131.26 gamma=58.17
Positions (direct):
Na  0.000  0.000  0.000
Na  0.380  0.880  0.500
Na  0.620  0.120  0.500
Cd  0.032  0.335  0.698
Cd  0.363  0.665  0.698
Cd  0.637  0.335  0.302
Cd  0.968  0.665  0.302
Sn  0.222  0.222  0.000
Sn  0.316  0.500  0.816
Sn  0.684  0.500  0.184
Sn  0.778  0.778  0.000

- calculated total energy (eV per atom) = -2.26

---

Entry 4:
Density functional theory data (PBE) for NiW8 after structural relaxation.

Unit cell a=6.843 b=6.843 c=6.843 alpha=93.13 beta=93.13 gamma=152.97
Positions (direct):
Ni  0.000  0.000  0.000
W  0.000  0.330  0.330
W  0.000  0.670  0.670
W  0.330  0.000  0.330
W  0.336  0.336  0.672
W  0.336  0.664  0.000
W  0.664  0.336  0.000
W  0.664  0.664  0.328
W  0.670  0.000  0.670

- calculated total energy (eV per atom) = -12.03

---

Number 1: energy relative to the elements -0.585 eV per atom. Number 2: energy relative to the elements 0.123 eV per atom. Number 3: energy relative to the elements -0.111 eV per atom. Number 4: energy relative to the elements 0.124 eV per atom.